<P>
First-principles (GGA-PBE) data for a geometry-optimized BiOs2Pb structure, as listed in Alexandria via LeMat-Bulk.

abc: 4.7819 4.7819 4.7819
angles: 60.00 60.00 60.00
Last column: nearest neighbours and their distance in Å.
Positions (direct):
Bi1 0.0000 0.0000 0.0000  8 Os 2.93
Os1 0.2500 0.2500 0.2500  4 Pb 2.93, 4 Bi 2.93
Os2 0.7500 0.7500 0.7500  4 Pb 2.93, 4 Bi 2.93
Pb1 0.5000 0.5000 0.5000  8 Os 2.93



<Q>
First-principles (GGA-PBE) data for a geometry-optimized BiOs2Pb structure, as listed in Alexandria via LeMat-Bulk.

abc: 7.5282 7.5282 7.5282
angles: 131.89 131.89 70.41
Last column: nearest neighbours and their distance in Å.
Positions (direct):
Bi1 0.0000 0.0000 0.0000  4 Os 2.65
Bi2 0.7500 0.2500 0.5000  4 Os 2.65
Os1 0.1215 0.6250 0.9965  2 Bi 2.65, 2 Pb 2.67
Os2 0.3750 0.3715 0.4965  2 Bi 2.65, 2 Pb 2.67
Os3 0.6285 0.1250 0.0035  2 Bi 2.65, 2 Pb 2.67
Os4 0.8750 0.8785 0.5035  2 Bi 2.65, 2 Pb 2.67
Pb1 0.2500 0.7500 0.5000  4 Os 2.67
Pb2 0.5000 0.5000 0.0000  4 Os 2.67



Of the structures shown above, <P> is the most stable.